[1]
An optimized crystal structure of Fe2AsRhN. Source: Alexandria via LeMat-Bulk, functional PBE.

## Properties
**Calculated volume**: 99.7 Å³ per cell
**Theoretical density**: 5.055 g/cm³
**Uncorrected energy**: -5.649 eV/atom

POSCAR file:
```
Fe2AsRhN
1.0
-3.012 1.918 3.088
-3.339 -2.391 -1.772
0.891 -3.499 3.042
As Rh Fe N
1 1 2 1
Direct
0.000 0.500 0.000
0.000 0.000 0.000
0.000 0.000 0.500
0.500 0.000 0.000
0.500 0.500 0.500
```

[2]
An optimized crystal structure of MgTl2Pb3. Source: Alexandria via LeMat-Bulk, functional PBE.

## Properties
**Calculated volume**: 362.4 Å³ per cell
**Polymorph energy (0 for the lowest one)**: 28.7 meV per atom
**Calculated formation energy**: 0.045 eV/atom
**Theoretical density**: 9.664 g/cm³
**Uncorrected energy**: -2.864 eV/atom

POSCAR file:
```
MgTl2Pb3
1.0
6.077 -0.620 -0.442
-0.088 7.877 -0.223
-0.088 2.363 7.518
Mg Tl Pb
2 4 6
Direct
0.750 0.931 0.069
0.250 0.069 0.931
0.614 0.121 0.634
0.114 0.634 0.121
0.886 0.366 0.879
0.386 0.879 0.366
0.250 0.423 0.577
0.750 0.577 0.423
0.018 0.832 0.678
0.482 0.322 0.168
0.518 0.678 0.832
0.982 0.168 0.322
```

[3]
An optimized crystal structure of TePb5S4. Source: Alexandria via LeMat-Bulk, functional PBE.

## Properties
**Calculated volume**: 286.6 Å³ per cell
**Theoretical density**: 7.484 g/cm³
**Uncorrected energy**: -4.299 eV/atom

POSCAR file:
```
TePb5S4
1.0
4.229 0.000 -0.816
-0.317 5.924 -1.644
0.015 -0.020 11.446
Te Pb S
1 5 4
Direct
0.000 0.000 0.000
0.611 0.111 0.222
0.803 0.303 0.606
0.197 0.697 0.394
0.000 0.500 0.000
0.389 0.889 0.778
0.399 0.399 0.798
0.795 0.795 0.590
0.205 0.205 0.410
0.601 0.601 0.202
```

[4]
An optimized crystal structure of NiGeSb. Source: Alexandria via LeMat-Bulk, functional PBE.

## Properties
**Calculated volume**: 221.6 Å³ per cell
**Polymorph energy (0 for the lowest one)**: 0.0 meV per atom
**Theoretical density**: 7.586 g/cm³
**Uncorrected energy**: -5.019 eV/atom

POSCAR file:
```
NiGeSb
1.0
6.244 0.000 0.000
0.000 6.355 -0.796
0.000 -2.500 5.898
Sb Ge Ni
4 4 4
Direct
0.372 0.845 0.646
0.628 0.155 0.354
0.128 0.845 0.146
0.872 0.155 0.854
0.349 0.349 0.162
0.651 0.651 0.838
0.849 0.651 0.338
0.151 0.349 0.662
0.995 0.717 0.713
0.505 0.717 0.213
0.005 0.283 0.287
0.495 0.283 0.787
```

[5]
An optimized crystal structure of CrSbAs2Se. Source: Alexandria via LeMat-Bulk, functional PBE.

## Properties
**Calculated volume**: 112.3 Å³ per cell
**Polymorph energy (0 for the lowest one)**: 0.0 meV per atom
**Theoretical density**: 5.951 g/cm³
**Uncorrected energy**: -4.966 eV/atom

POSCAR file:
```
CrSbAs2Se
1.0
4.586 0.000 0.000
0.000 4.586 0.000
0.000 0.000 5.341
Sb As Se Cr
1 2 1 1
Direct
0.500 0.500 0.500
0.000 0.500 0.000
0.500 0.000 0.000
0.000 0.000 0.500
0.000 0.000 0.000
```

[6]
An optimized crystal structure of ZnTc2Os. Source: Alexandria via LeMat-Bulk, functional PBE.

## Properties
**Calculated volume**: 57.3 Å³ per cell
**Calculated formation energy**: 0.143 eV/atom
**Theoretical density**: 13.085 g/cm³
**Uncorrected energy**: -8.166 eV/atom

POSCAR file:
```
ZnTc2Os
1.0
-0.700 0.914 -2.509
-2.066 -3.285 -0.620
-4.291 2.313 2.039
Os Tc Zn
1 2 1
Direct
0.500 0.500 0.743
0.000 0.000 0.998
0.500 0.500 0.259
0.000 0.000 0.500
```

[7]
An optimized crystal structure of Hf2ZrSc3N6. Source: Alexandria via LeMat-Bulk, functional PBE.

## Properties
**Calculated volume**: 140.4 Å³ per cell
**Theoretical density**: 7.890 g/cm³
**Uncorrected energy**: -10.004 eV/atom

POSCAR file:
```
Hf2ZrSc3N6
1.0
-5.318 1.616 0.088
1.257 -5.349 -0.846
1.181 0.388 5.420
Hf Zr Sc N
2 1 3 6
Direct
0.333 0.667 0.000
0.667 0.333 0.000
0.000 0.000 0.000
0.167 0.833 0.500
0.833 0.167 0.500
0.500 0.500 0.500
0.918 0.579 0.753
0.743 0.743 0.247
0.082 0.421 0.247
0.579 0.918 0.753
0.257 0.257 0.753
0.421 0.082 0.247
```

[8]
An optimized crystal structure of ErPaCo. Source: Alexandria via LeMat-Bulk, functional PBE.

## Properties
**Calculated volume**: 64.3 Å³ per cell
**Polymorph energy (0 for the lowest one)**: 0.0 meV per atom
**Calculated formation energy**: -0.142 eV/atom
**Theoretical density**: 11.803 g/cm³
**Uncorrected energy**: -7.197 eV/atom

POSCAR file:
```
ErPaCo
1.0
3.412 0.000 0.000
0.000 3.412 0.000
-1.706 -1.706 5.524
Pa Co Er
1 1 1
Direct
0.296 0.296 0.592
0.699 0.699 0.398
0.005 0.005 0.010
```